Below is Ta2Co2SiSn after structural relaxation, with properties calculated at the PBE-GGA level.

abc: 9.749 3.977 9.988
angles: 90.00 106.78 90.00
Each line ends with the local moment (μB).
Fractional coordinates of all 24 atoms:
Co 0.888 0.500 0.023  0.03
Co 0.599 0.500 0.228  0.04
Co 0.007 0.000 0.405  0.02
Co 0.337 0.500 0.446  -0.01
Co 0.137 0.500 0.573  0.00
Co 0.752 0.000 0.625  0.27
Co 0.508 0.000 0.862  0.09
Co 0.253 0.000 0.964  0.04
Si 0.496 0.000 0.105  0.00
Si 0.267 0.000 0.324  0.00
Si 0.769 0.000 0.894  0.00
Si 0.113 0.500 0.944  0.00
Sn 0.818 0.500 0.446  0.00
Sn 0.564 0.500 0.650  0.01
Sn 0.048 0.000 0.690  0.00
Sn 0.328 0.500 0.820  0.00
Ta 0.057 0.000 0.092  0.00
Ta 0.335 0.500 0.179  0.00
Ta 0.797 0.000 0.197  0.06
Ta 0.071 0.500 0.302  0.00
Ta 0.552 0.000 0.390  -0.01
Ta 0.309 0.000 0.595  0.00
Ta 0.865 0.500 0.759  0.01
Ta 0.630 0.500 0.989  0.00

Values from the calculation:
SG ... Pm
Raw total energy ... -194.224 eV/cell

---

Below is Sr2CoSi after structural relaxation, with properties calculated at the PBE-GGA level.

abc: 5.005 5.005 5.005
angles: 60.00 60.00 60.00
Fractional coordinates of all 4 atoms:
Co 0.250 0.250 0.250
Si 0.500 0.500 0.500
Sr 0.000 0.000 0.000
Sr 0.750 0.750 0.750

Values from the calculation:
SG ... F-43m
Raw total energy ... -14.466 eV/cell

---

Below is SrYCo2Si2 after structural relaxation, with properties calculated at the PBE-GGA level.

abc: 3.964 3.964 7.275
angles: 90.00 90.00 90.00
Fractional coordinates of all 6 atoms:
Co 0.500 0.000 0.009
Co 0.000 0.500 0.009
Si 0.500 0.500 0.175
Si 0.000 0.000 0.845
Sr 0.500 0.500 0.662
Y 0.000 0.000 0.299

Values from the calculation:
SG ... P4mm
Raw total energy ... -36.541 eV/cell

---

- What is the raw total energy in the second record?
  -14.466 eV/cell